Co3SnMo | PBE-GGA | relaxed

Summary:
magnetization = 5.7 Bohr magnetons per cell
SG = No. 221
N(E_F) = 0.955 states/eV per atom
E = -5.49 eV/atom

Geometry as POSCAR:
```
Co3SnMo
1.0
4.529 0.000 0.000
0.000 4.529 0.000
0.000 0.000 4.529
Co Sn Mo
3 1 1
direct
0.000 0.000 0.500 Co
0.000 0.500 0.000 Co
0.500 0.000 0.000 Co
0.000 0.000 0.000 Sn
0.500 0.500 0.500 Mo
```